An optimized crystal structure of Mn2PBr, computed with GGA-PBE.

a b c (Å): 3.8955 5.2467 7.0673
angles (deg): 90.00 90.00 90.00
Last column: nearest neighbours and their distance in Å.
Space group Cmmm (No. 65)
Unique sites:
1 Mn 0.0000 0.0000 0.2004 x4  2 P 2.41
2 P 0.0000 0.5000 0.0000 x2  4 Mn 2.41
3 Br 0.0000 0.5000 0.5000 x2  4 Mn 2.88

Total moment ... 15.7 μB per cell
Formation energy from raw total energies ... 0.466 eV/f.u.
Fermi-level density of states ... 2.546 states/eV/f.u.
Polymorph energy (0 for the lowest one) ... 291 meV/atom


An optimized crystal structure of MgTcPb4, computed with GGA-PBE.

a b c (Å): 8.9509 8.9509 8.9509
angles (deg): 90.00 90.00 90.00
Last column: nearest neighbours and their distance in Å.
Space group F-43m (No. 216)
Unique sites:
1 Mg 0.0000 0.0000 0.0000 x4  12 Pb 3.71, 4 Tc 3.88
2 Tc 0.2500 0.2500 0.2500 x4  12 Pb 3.71, 4 Mg 3.88
3 Pb 0.1245 0.1245 0.6245 x16  6 Pb 3.15-3.18

Total moment ... 12.1 μB per cell
E_tot ... -87.72 eV for the cell shown
Fermi-level density of states ... 5.164 states/eV/f.u.